Record 1
YCoSe2 SCAN single point on PBEsol structure; calculated volume = 21.91 Å³/atom; formation energy from raw total energies = -482 meV/atom; D(E_F) = 2.483 states/eV/cell
1.0
3.5706 0.0000 0.0000
-1.7853 3.0922 0.0000
0.0000 0.0000 23.8083
Y Co Se
3 3 6
Direct
0.0000 0.0000 0.0000
0.3333 0.6667 0.6667
0.6667 0.3333 0.3333
0.0000 0.0000 0.5000
0.3333 0.6667 0.1667
0.6667 0.3333 0.8333
0.0000 0.0000 0.1171
0.0000 0.0000 0.8829
0.3333 0.6667 0.5496
0.3333 0.6667 0.7837
0.6667 0.3333 0.2163
0.6667 0.3333 0.4504

---

Record 2
Ta2RuAu SCAN single point on PBEsol structure; calculated volume = 16.45 Å³/atom; polymorph energy (0 for the lowest one) = 0.254 eV/atom; D(E_F) = 3.356 states/eV/cell; formation energy = -0.2 eV/f.u.
1.0
4.6942 0.0000 0.0000
0.0000 4.6942 0.0000
0.0000 0.0000 2.9864
Ta Ru Au
2 1 1
Direct
0.0000 0.5000 0.0000
0.5000 0.0000 0.0000
0.0000 0.0000 0.5000
0.5000 0.5000 0.5000

---

Record 3
TaMnPt SCAN single point on PBEsol structure; calculated volume = 14.79 Å³/atom; D(E_F) = 4.705 states/eV/cell; formation energy = -1.5 eV/f.u.
1.0
2.7741 0.0000 0.0000
0.0000 2.7741 0.0000
0.0000 0.0000 11.5306
Ta Mn Pt
2 2 2
Direct
0.0000 0.0000 0.0000
0.5000 0.5000 0.5000
0.0000 0.0000 0.6648
0.5000 0.5000 0.1648
0.0000 0.0000 0.3245
0.5000 0.5000 0.8245

---

Record 4
SrNi2As2 SCAN single point on PBEsol structure; calculated volume = 17.13 Å³/atom; D(E_F) = 5.305 states/eV/cell; formation energy = -3.6 eV/f.u.
1.0
4.1112 0.0000 0.0000
0.0000 4.1112 0.0000
0.0000 0.0000 10.1372
Sr Ni As
2 4 4
Direct
0.0000 0.0000 0.0000
0.5000 0.5000 0.5000
0.0000 0.5000 0.2500
0.0000 0.5000 0.7500
0.5000 0.0000 0.2500
0.5000 0.0000 0.7500
0.0000 0.0000 0.3623
0.0000 0.0000 0.6377
0.5000 0.5000 0.1377
0.5000 0.5000 0.8623

---

Number 2 is which compound? Ta2RuAu